[1]
Compound: KOsAu
Source: Alexandria
Functional: meta-GGA SCAN
Structure: single point on PBEsol structure

Computed properties:
Total energy ... -48.81 eV per atom
ΔH_f (0 K) ... 0.978 eV/atom
Density ... 10.03 Mg/m³

Cell: 3.451 3.451 6.411 Å, 105.62 105.62 90.00°
Element x y z (fractional)
Au 0.951 0.951 0.902
K 0.665 0.665 0.330
Os 0.384 0.384 0.769

[2]
Compound: KOsAu2
Source: Alexandria
Functional: meta-GGA SCAN
Structure: single point on PBEsol structure

Computed properties:
Energy above the lowest structure with this stoichiometry ... 0 meV/atom
Total energy ... -54.16 eV per atom
ΔH_f (0 K) ... 0.467 eV/atom
Density ... 14.43 Mg/m³

Cell: 2.677 5.177 5.177 Å, 90.00 90.00 90.00°
Element x y z (fractional)
Au 0.000 0.000 0.125
Au 0.000 0.500 0.626
K 0.500 0.000 0.625
Os 0.500 0.500 0.125

[3]
Compound: KOs3Au
Source: Alexandria
Functional: meta-GGA SCAN
Structure: single point on PBEsol structure

Computed properties:
Energy above the lowest structure with this stoichiometry ... 1391 meV/atom
Total energy ... -54.53 eV per atom
ΔH_f (0 K) ... 4.096 eV/atom
Density ... 14.91 Mg/m³

Cell: 4.479 4.479 4.479 Å, 90.00 90.00 90.00°
Element x y z (fractional)
Os 0.000 0.500 0.000
Os 0.000 0.000 0.500
Os 0.500 0.000 0.000
K 0.000 0.000 0.000
Au 0.500 0.500 0.500

[4]
Compound: KOsAu3
Source: Alexandria
Functional: meta-GGA SCAN
Structure: single point on PBEsol structure

Computed properties:
Total energy ... -55.03 eV per atom
ΔH_f (0 K) ... 2.510 eV/atom
Density ... 11.07 Mg/m³

Cell: 4.973 4.973 4.973 Å, 90.00 90.00 90.00°
Element x y z (fractional)
Os 0.500 0.500 0.500
K 0.000 0.000 0.000
Au 0.000 0.500 0.000
Au 0.000 0.000 0.500
Au 0.500 0.000 0.000